Entry 1:
# NdZn2Cd3

A relaxed structure of NdZn2Cd3 (PBE-GGA, Alexandria).

Values from the calculation:
ΔE_f = -1.3 eV per formula unit
SG = C2/m
volume = 22.2 Å³ per atom
final energy = -11.4 eV/f.u.

abc: 4.465 8.767 7.934
angles: 116.47 90.00 104.75
Sites, in units of the cell vectors:
Nd (0.859, 0.718, 0.932)
Nd (0.141, 0.282, 0.068)
Zn (0.485, 0.969, 0.836)
Zn (0.515, 0.031, 0.164)
Zn (0.786, 0.572, 0.255)
Zn (0.214, 0.428, 0.745)
Cd (0.314, 0.629, 0.552)
Cd (0.956, 0.912, 0.619)
Cd (0.617, 0.233, 0.733)
Cd (0.383, 0.767, 0.267)
Cd (0.044, 0.088, 0.381)
Cd (0.686, 0.371, 0.448)

***

Entry 2:
# CaTiP2

A relaxed structure of CaTiP2 (PBE-GGA, Alexandria).

Values from the calculation:
ΔE_f = -4.0 eV per formula unit
SG = R3m
volume = 19.5 Å³ per atom
final energy = -24.8 eV/f.u.

abc: 3.686 3.686 6.977
angles: 74.68 74.68 60.00
Sites, in units of the cell vectors:
Ca (0.497, 0.497, 0.508)
Ti (0.669, 0.669, 0.993)
P (0.069, 0.069, 0.792)
P (0.264, 0.264, 0.207)

***

Entry 3:
# CaAc4Sm3

A relaxed structure of CaAc4Sm3 (PBE-GGA, Alexandria).

Values from the calculation:
ΔE_f = 1.0 eV per formula unit
SG = C2/m
volume = 40.5 Å³ per atom
final energy = -31.5 eV/f.u.

abc: 6.295 6.471 9.251
angles: 112.40 109.89 90.00
Sites, in units of the cell vectors:
Ca (0.500, 0.000, 0.000)
Ac (0.757, 0.314, 0.515)
Ac (0.243, 0.686, 0.485)
Ac (0.372, 0.333, 0.743)
Ac (0.628, 0.667, 0.257)
Sm (0.000, 0.500, 0.000)
Sm (0.876, 0.921, 0.753)
Sm (0.124, 0.079, 0.247)

***

Entry 4:
# BeGaIO2

A relaxed structure of BeGaIO2 (PBE-GGA, Alexandria).

Values from the calculation:
uncorrected formation energy = -0.24 eV per atom
SG = P4/mmm
volume = 17.9 Å³ per atom
final energy = -19.4 eV/f.u.

abc: 3.711 3.711 6.485
angles: 90.00 90.00 90.00
Sites, in units of the cell vectors:
I (0.000, 0.000, 0.500)
Be (0.500, 0.500, 0.500)
O (0.000, 0.500, 0.000)
O (0.500, 0.000, 0.000)
Ga (0.000, 0.000, 0.000)

***

Entry 5:
# Sm5Mg4In

A relaxed structure of Sm5Mg4In (PBE-GGA, Alexandria).

Values from the calculation:
ΔE_f = -1.8 eV per formula unit
SG = P4/mmm
volume = 28.4 Å³ per atom
final energy = -34.5 eV/f.u.

abc: 3.837 3.837 19.316
angles: 90.00 90.00 90.00
Sites, in units of the cell vectors:
Sm (0.500, 0.500, 0.100)
Sm (0.500, 0.500, 0.299)
Sm (0.500, 0.500, 0.500)
Sm (0.500, 0.500, 0.701)
Sm (0.500, 0.500, 0.900)
Mg (0.000, 0.000, 0.201)
Mg (0.000, 0.000, 0.400)
Mg (0.000, 0.000, 0.600)
Mg (0.000, 0.000, 0.799)
In (0.000, 0.000, 0.000)

***

Entry 6:
# LaPm2Tl3S6

A relaxed structure of LaPm2Tl3S6 (PBE-GGA, Alexandria).

Values from the calculation:
uncorrected formation energy = -1.49 eV per atom
SG = C2/m
volume = 28.5 Å³ per atom
final energy = -64.1 eV/f.u.

abc: 7.266 7.266 7.862
angles: 98.85 98.85 120.00
Sites, in units of the cell vectors:
La (0.000, 0.000, 0.000)
Pm (0.333, 0.667, 0.000)
Pm (0.667, 0.333, 0.000)
Tl (0.167, 0.833, 0.500)
Tl (0.833, 0.167, 0.500)
Tl (0.500, 0.500, 0.500)
S (0.932, 0.593, 0.796)
S (0.729, 0.729, 0.203)
S (0.068, 0.407, 0.204)
S (0.593, 0.932, 0.796)
S (0.271, 0.271, 0.797)
S (0.407, 0.068, 0.204)

***

Entry 7:
# AcTb2Nd9

A relaxed structure of AcTb2Nd9 (PBE-GGA, Alexandria).

Values from the calculation:
ΔE_f = 0.3 eV per formula unit
SG = P4/mmm
volume = 35.4 Å³ per atom
final energy = -56.0 eV/f.u.

abc: 5.208 5.208 15.655
angles: 90.00 90.00 90.00
Sites, in units of the cell vectors:
Ac (0.000, 0.000, 0.000)
Tb (0.000, 0.000, 0.336)
Tb (0.000, 0.000, 0.664)
Nd (0.500, 0.500, 0.000)
Nd (0.500, 0.500, 0.338)
Nd (0.500, 0.500, 0.662)
Nd (0.500, 0.000, 0.173)
Nd (0.500, 0.000, 0.500)
Nd (0.500, 0.000, 0.827)
Nd (0.000, 0.500, 0.173)
Nd (0.000, 0.500, 0.500)
Nd (0.000, 0.500, 0.827)

***

Entry 8:
# SiRh2Se

A relaxed structure of SiRh2Se (PBE-GGA, Alexandria).

Values from the calculation:
uncorrected formation energy = 0.01 eV per atom
SG = Pmmm
volume = 15.4 Å³ per atom
final energy = -23.6 eV/f.u.

abc: 2.915 5.140 4.104
angles: 90.00 90.00 90.00
Sites, in units of the cell vectors:
Rh (0.000, 0.000, 0.000)
Rh (0.500, 0.500, 0.000)
Se (0.500, 0.000, 0.500)
Si (0.000, 0.500, 0.500)